(1)
## CsSb3O (PBE)

Data for a relaxed structure of CsSb3O.

Cell: 6.2376 6.2376 6.2376 Å, 90.00 90.00 90.00°
Last column: nearest neighbours and their distance in Å.
Positions (direct):
Cs1 0.0000 0.0000 0.0000  6 Sb 3.12
Sb1 0.0000 0.0000 0.5000  2 Cs 3.12
Sb2 0.0000 0.5000 0.0000  2 Cs 3.12
Sb3 0.5000 0.0000 0.0000  2 Cs 3.12
O1 0.5000 0.5000 0.5000  12 Sb 4.41

**Uncorrected energy**: -7.7 eV for the cell shown
**Space-group type**: Pm-3m, No. 221
**Formation energy without anion corrections**: 2.1052 eV per atom
**Magnetic moment**: 0.008 μB per cell

=====

(2)
## Y4GaBi2 (PBE)

Data for a relaxed structure of Y4GaBi2.

Cell: 8.9363 8.9363 8.9363 Å, 145.56 145.56 49.50°
Last column: nearest neighbours and their distance in Å.
Positions (direct):
Y1 0.0000 0.5000 0.5000  2 Ga 2.65
Y2 0.1716 0.1716 0.0000  1 Ga 2.78
Y3 0.5000 0.0000 0.5000  2 Ga 2.65
Y4 0.8284 0.8284 0.0000  1 Ga 2.78
Ga1 0.0000 0.0000 0.0000  6 Y 2.65-2.78
Bi1 0.3639 0.3639 0.0000  5 Y 3.12-3.45
Bi2 0.6361 0.6361 0.0000  5 Y 3.12-3.45

**Uncorrected energy**: -39.8 eV for the cell shown
**Energy of formation from the pure elements**: -0.455 eV per atom
**Space-group type**: I4/mmm, No. 139
**Magnetic moment**: 0.000 μB per cell

=====

(3)
## ZrCoRh (PBE)

Data for a relaxed structure of ZrCoRh.

Cell: 4.1119 4.1119 3.3150 Å, 90.00 90.00 120.00°
Last column: nearest neighbours and their distance in Å.
Positions (direct):
Zr1 0.0000 0.0000 0.0000  6 Co 2.90, 6 Rh 2.90
Co1 0.3333 0.6667 0.5000  3 Rh 2.37
Rh1 0.6667 0.3333 0.5000  3 Co 2.37

**Uncorrected energy**: -23.9 eV for the cell shown
**Energy of formation from the pure elements**: -0.297 eV per atom
**Space-group type**: P-6m2, No. 187
**Magnetic moment**: 0.203 μB per cell

=====

(4)
## SbOsCl2 (PBE)

Data for a relaxed structure of SbOsCl2.

Cell: 3.0489 4.6122 5.3335 Å, 90.00 90.00 90.00°
Last column: nearest neighbours and their distance in Å.
Positions (direct):
Sb1 0.0000 0.0000 0.0000  4 Cl 2.76, 2 Sb 3.05, 4 Os 3.07
Os1 0.5000 0.0000 0.5000  4 Cl 2.76, 2 Os 3.05, 4 Sb 3.07
Cl1 0.0000 0.5000 0.5000  4 Os 2.76, 6 Cl 3.05-3.07
Cl2 0.5000 0.5000 0.0000  4 Sb 2.76, 6 Cl 3.05-3.07

**Uncorrected energy**: -16.1 eV for the cell shown
**Space-group type**: Pmmm, No. 47
**Formation energy without anion corrections**: 0.7457 eV per atom
**Magnetic moment**: 0.396 μB per cell

=====

(5)
## Zn2FeRh (PBE)

Data for a relaxed structure of Zn2FeRh.

Cell: 4.6236 4.6236 4.4912 Å, 103.75 103.75 35.91°
Last column: nearest neighbours and their distance in Å.
Positions (direct):
Zn1 0.2490 0.2490 0.2492  3 Fe 2.62-2.71, 3 Rh 2.63-2.70, 6 Zn 2.66-2.85
Zn2 0.7510 0.7510 0.7508  3 Fe 2.62-2.71, 3 Rh 2.63-2.70, 6 Zn 2.66-2.85
Fe1 0.5000 0.5000 0.0000  6 Zn 2.62-2.71, 4 Rh 2.66, 2 Fe 2.85
Rh1 0.0000 0.0000 0.5000  6 Zn 2.63-2.70, 4 Fe 2.66, 2 Rh 2.85

**Uncorrected energy**: -18.8 eV for the cell shown
**Energy of formation from the pure elements**: -0.108 eV per atom
**Space-group type**: C2/m, No. 12
**Magnetic moment**: 2.856 μB per cell

=====

(6)
## PmGa4Co2 (PBE)

Data for a relaxed structure of PmGa4Co2.

Cell: 5.3016 5.3016 5.1674 Å, 119.11 119.11 76.33°
Last column: nearest neighbours and their distance in Å.
Positions (direct):
Pm1 0.0000 0.0000 0.0000  4 Ga 2.80
Ga1 0.0002 0.3954 0.6974  4 Ga 2.59-2.76, 4 Co 2.69-2.70, 1 Pm 2.80
Ga2 0.9998 0.6046 0.3026  4 Ga 2.59-2.76, 4 Co 2.69-2.70, 1 Pm 2.80
Ga3 0.3954 0.0002 0.6974  4 Ga 2.59-2.76, 4 Co 2.69-2.70, 1 Pm 2.80
Ga4 0.6046 0.9998 0.3026  4 Ga 2.59-2.76, 4 Co 2.69-2.70, 1 Pm 2.80
Co1 0.4982 0.4982 0.2482  2 Co 2.58, 8 Ga 2.69-2.70
Co2 0.5018 0.5018 0.7518  2 Co 2.58, 8 Ga 2.69-2.70

**Uncorrected energy**: -32.7 eV for the cell shown
**Energy of formation from the pure elements**: -0.229 eV per atom
**Space-group type**: C2/m, No. 12
**Magnetic moment**: 1.468 μB per cell

=====

(7)
## CuHg2Cl6 (PBE)

Data for a relaxed structure of CuHg2Cl6.

Cell: 6.8508 6.8508 11.1150 Å, 90.00 90.00 90.00°
Last column: nearest neighbours and their distance in Å.
Positions (direct):
Cu1 0.0000 0.0000 0.0000  4 Cl 2.30
Cu2 0.5000 0.5000 0.5000  4 Cl 2.30
Hg1 0.0000 0.0000 0.3321  4 Cl 2.58-2.62
Hg2 0.0000 0.0000 0.6679  4 Cl 2.58-2.62
Hg3 0.5000 0.5000 0.1679  4 Cl 2.58-2.62
Hg4 0.5000 0.5000 0.8321  4 Cl 2.58-2.62
Cl1 0.1672 0.1672 0.1471  1 Cu 2.30
Cl2 0.1672 0.1672 0.8529  1 Cu 2.30
Cl3 0.1840 0.1840 0.5000  2 Hg 2.58
Cl4 0.3160 0.6841 0.0000  2 Hg 2.58
Cl5 0.3328 0.6672 0.3529  1 Cu 2.30
Cl6 0.3328 0.6672 0.6471  1 Cu 2.30
Cl7 0.6672 0.3328 0.3529  1 Cu 2.30
Cl8 0.6672 0.3328 0.6471  1 Cu 2.30
Cl9 0.6841 0.3160 0.0000  2 Hg 2.58
Cl10 0.8159 0.8159 0.5000  2 Hg 2.58
Cl11 0.8328 0.8328 0.1471  1 Cu 2.30
Cl12 0.8328 0.8328 0.8529  1 Cu 2.30

**Uncorrected energy**: -40.8 eV for the cell shown
**Space-group type**: P4_2/mnm, No. 136
**Formation energy without anion corrections**: -0.5127 eV per atom
**Magnetic moment**: 1.972 μB per cell

=====

(8)
## Sr2TmSnSe5 (PBE)

Data for a relaxed structure of Sr2TmSnSe5.

Cell: 9.3025 9.3025 13.2561 Å, 90.00 90.00 153.49°
Last column: nearest neighbours and their distance in Å.
Positions (direct):
Sr1 0.1107 0.8893 0.5000  6 Se 3.10-3.31
Sr2 0.1388 0.8612 0.1322  8 Se 3.22-3.48
Sr3 0.8612 0.1388 0.6322  8 Se 3.22-3.48
Sr4 0.8893 0.1107 0.0000  6 Se 3.10-3.31
Tm1 0.2132 0.7868 0.8439  6 Se 2.78-2.94
Tm2 0.7868 0.2132 0.3439  6 Se 2.78-2.94
Sn1 0.4619 0.5381 0.2717  4 Se 2.67-2.83
Sn2 0.5381 0.4619 0.7717  4 Se 2.67-2.83
Se1 0.0553 0.9447 0.8961  2 Sn 2.71, 1 Tm 2.94
Se2 0.2815 0.7185 0.4865  2 Tm 2.85, 1 Sr 3.10
Se3 0.3152 0.6848 0.1991  1 Sn 2.83, 2 Tm 2.92
Se4 0.3656 0.6344 0.8201  1 Tm 2.78
Se5 0.4906 0.5094 0.5814  1 Sn 2.67
Se6 0.5094 0.4906 0.0814  1 Sn 2.67
Se7 0.6344 0.3656 0.3201  1 Tm 2.78
Se8 0.6848 0.3152 0.6991  1 Sn 2.83, 2 Tm 2.92
Se9 0.7185 0.2815 0.9865  2 Tm 2.85, 1 Sr 3.10
Se10 0.9447 0.0553 0.3961  2 Sn 2.71, 1 Tm 2.94

**Uncorrected energy**: -85.3 eV for the cell shown
**Space-group type**: Cmc2_1, No. 36
**Formation energy without anion corrections**: -1.4903 eV per atom
**Magnetic moment**: 0.000 μB per cell

=====

(9)
## Be3TlAg (PBE)

Data for a relaxed structure of Be3TlAg.

Cell: 4.4726 4.4726 4.4726 Å, 90.00 90.00 90.00°
Last column: nearest neighbours and their distance in Å.
Positions (direct):
Be1 0.0000 0.0000 0.5000  2 Ag 2.24
Be2 0.0000 0.5000 0.0000  2 Ag 2.24
Be3 0.5000 0.0000 0.0000  2 Ag 2.24
Tl1 0.5000 0.5000 0.5000  12 Be 3.16
Ag1 0.0000 0.0000 0.0000  6 Be 2.24

**Uncorrected energy**: -12.4 eV for the cell shown
**Energy of formation from the pure elements**: 0.798 eV per atom
**Space-group type**: Pm-3m, No. 221
**Magnetic moment**: 0.000 μB per cell

=====

(10)
## ThSi2Tc3 (PBE)

Data for a relaxed structure of ThSi2Tc3.

Cell: 5.5277 5.5277 3.8926 Å, 90.00 90.00 120.00°
Last column: nearest neighbours and their distance in Å.
Positions (direct):
Th1 0.0000 0.0000 0.0000  6 Si 3.19, 12 Tc 3.38
Si1 0.3333 0.6667 0.0000  6 Tc 2.52
Si2 0.6667 0.3333 0.0000  6 Tc 2.52
Tc1 0.0000 0.5000 0.5000  4 Si 2.52, 4 Tc 2.76
Tc2 0.5000 0.0000 0.5000  4 Si 2.52, 4 Tc 2.76
Tc3 0.5000 0.5000 0.5000  4 Si 2.52, 4 Tc 2.76

**Uncorrected energy**: -52.3 eV for the cell shown
**Space-group type**: P6/mmm, No. 191
**Formation energy without anion corrections**: -0.4923 eV per atom
**Magnetic moment**: 0.000 μB per cell

=====

(11)
## BaTa2Re (PBE)

Data for a relaxed structure of BaTa2Re.

Cell: 10.3188 10.3188 10.3188 Å, 17.89 17.89 17.89°
Last column: nearest neighbours and their distance in Å.
Positions (direct):
Ba1 0.0000 0.0000 0.0000  6 Ba 3.21
Ta1 0.2294 0.2294 0.2294  3 Re 2.66
Ta2 0.7706 0.7706 0.7706  3 Re 2.66
Re1 0.5000 0.5000 0.5000  6 Ta 2.66

**Uncorrected energy**: -34.9 eV for the cell shown
**Energy of formation from the pure elements**: 0.796 eV per atom
**Space-group type**: R-3m, No. 166
**Magnetic moment**: 0.000 μB per cell

=====

(12)
## RbNaReF6 (PBE)

Data for a relaxed structure of RbNaReF6.

Cell: 7.5967 7.5967 7.5967 Å, 119.75 118.72 91.34°
Last column: nearest neighbours and their distance in Å.
Positions (direct):
Rb1 0.3818 0.1318 0.2500  5 F 2.79-2.94
Rb2 0.6182 0.8682 0.7500  5 F 2.79-2.94
Na1 0.0000 0.5000 0.5000  2 F 2.24
Na2 0.5000 0.5000 0.0000  2 F 2.24
Re1 0.0000 0.0000 0.5000  6 F 1.96-2.04
Re2 0.0000 0.5000 0.0000  6 F 1.96-2.04
F1 0.0513 0.3271 0.1319  1 Re 1.96
F2 0.0513 0.9193 0.7242  1 Re 1.96
F3 0.0679 0.3179 0.7500  2 Re 2.04
F4 0.3048 0.0807 0.6319  1 Re 1.96
F5 0.3048 0.6729 0.2242  1 Re 1.96
F6 0.3555 0.6055 0.7500  2 Na 2.24
F7 0.6445 0.3945 0.2500  2 Na 2.24
F8 0.6952 0.3271 0.7758  1 Re 1.96
F9 0.6952 0.9193 0.3681  1 Re 1.96
F10 0.9321 0.6821 0.2500  2 Re 2.04
F11 0.9487 0.0807 0.2758  1 Re 1.96
F12 0.9487 0.6729 0.8681  1 Re 1.96

**Uncorrected energy**: -94.0 eV for the cell shown
**Space-group type**: Imma, No. 74
**Formation energy without anion corrections**: -2.3387 eV per atom
**Magnetic moment**: 6.000 μB per cell

=====

(13)
## LaSbBr2 (PBE)

Data for a relaxed structure of LaSbBr2.

Cell: 10.3135 10.3135 10.3135 Å, 22.03 22.03 22.03°
Last column: nearest neighbours and their distance in Å.
Positions (direct):
La1 0.0000 0.0000 0.0000  3 Br 3.03, 3 Sb 3.34
Sb1 0.2523 0.2523 0.2523  3 Br 3.14, 3 La 3.34
Br1 0.5137 0.5137 0.5137  3 Sb 3.14
Br2 0.7330 0.7330 0.7330  3 La 3.03

**Uncorrected energy**: -15.3 eV for the cell shown
**Space-group type**: R3m, No. 160
**Formation energy without anion corrections**: -0.7159 eV per atom
**Magnetic moment**: 0.032 μB per cell

=====

(14)
## Ce2AlZn4Ga3 (PBE)

Data for a relaxed structure of Ce2AlZn4Ga3.

Cell: 4.2379 4.2379 10.6425 Å, 90.00 90.00 90.00°
Last column: nearest neighbours and their distance in Å.
Positions (direct):
Ce1 0.0000 0.5000 0.2465  6 Ga 3.22-3.43, 8 Zn 3.24-3.37, 2 Al 3.43
Ce2 0.5000 0.0000 0.7535  6 Ga 3.22-3.43, 8 Zn 3.24-3.37, 2 Al 3.43
Al1 0.0000 0.0000 0.5000  4 Zn 2.57
Zn1 0.0000 0.0000 0.0000  4 Ga 2.56
Zn2 0.0000 0.5000 0.6365  3 Ga 2.43-2.57, 2 Al 2.57
Zn3 0.5000 0.0000 0.3635  3 Ga 2.43-2.57, 2 Al 2.57
Zn4 0.5000 0.5000 0.0000  4 Ga 2.56
Ga1 0.0000 0.5000 0.8653  5 Zn 2.43-2.56
Ga2 0.5000 0.0000 0.1347  5 Zn 2.43-2.56
Ga3 0.5000 0.5000 0.5000  4 Zn 2.57

**Uncorrected energy**: -33.9 eV for the cell shown
**Energy of formation from the pure elements**: -0.416 eV per atom
**Space-group type**: P-4m2, No. 115
**Magnetic moment**: 1.434 μB per cell

=====

(15)
## ZrTaH2W (PBE)

Data for a relaxed structure of ZrTaH2W.

Cell: 3.7959 3.7959 5.1729 Å, 90.00 90.00 90.00°
Last column: nearest neighbours and their distance in Å.
Positions (direct):
Zr1 0.0000 0.0000 0.0000  4 W 2.68
Ta1 0.5000 0.5000 0.5000  4 H 1.90
H1 0.0000 0.5000 0.5000  2 Ta 1.90
H2 0.5000 0.0000 0.5000  2 Ta 1.90
W1 0.5000 0.5000 0.0000  2 Ta 2.59, 4 Zr 2.68

**Uncorrected energy**: -36.4 eV for the cell shown
**Space-group type**: P4/mmm, No. 123
**Magnetic moment**: 0.000 μB per cell

=====

(16)
## NdDy2Al (PBE)

Data for a relaxed structure of NdDy2Al.

Cell: 5.3188 6.9363 6.9363 Å, 60.04 90.00 90.00°
Last column: nearest neighbours and their distance in Å.
Positions (direct):
Nd1 0.0000 0.2347 0.7653  1 Nd 3.26, 5 Dy 3.27-3.41, 4 Al 3.27-3.48
Nd2 0.0000 0.7653 0.2347  1 Nd 3.26, 5 Dy 3.27-3.41, 4 Al 3.27-3.48
Dy1 0.0000 0.7643 0.7643  4 Al 3.23-3.47, 2 Nd 3.27, 4 Dy 3.39
Dy2 0.5000 0.4132 0.4132  4 Al 3.26-3.47, 2 Dy 3.27, 4 Nd 3.40
Dy3 0.5000 0.4146 0.9411  4 Al 3.26-3.54, 5 Dy 3.27-3.65, 2 Nd 3.41
Dy4 0.5000 0.9411 0.4146  4 Al 3.26-3.54, 5 Dy 3.27-3.65, 2 Nd 3.41
Al1 0.0000 0.2559 0.2559  8 Dy 3.26-3.47, 4 Nd 3.46-3.48
Al2 0.5000 0.9170 0.9170  8 Dy 3.23-3.54, 4 Nd 3.27

**Uncorrected energy**: -36.9 eV for the cell shown
**Energy of formation from the pure elements**: -0.185 eV per atom
**Space-group type**: Amm2, No. 38
**Magnetic moment**: 0.000 μB per cell

=====

(17)
## Pm2ScBe (PBE)

Data for a relaxed structure of Pm2ScBe.

Cell: 3.5237 3.5237 8.2214 Å, 90.00 90.00 90.00°
Last column: nearest neighbours and their distance in Å.
Positions (direct):
Pm1 0.0000 0.0000 0.2070  4 Be 3.02
Pm2 0.0000 0.0000 0.7930  4 Be 3.02
Sc1 0.5000 0.5000 0.5000  8 Pm 3.47, 4 Sc 3.52
Be1 0.5000 0.5000 0.0000  8 Pm 3.02

**Uncorrected energy**: -19.0 eV for the cell shown
**Energy of formation from the pure elements**: 0.132 eV per atom
**Space-group type**: P4/mmm, No. 123
**Magnetic moment**: 0.002 μB per cell

=====

(18)
## KNaSnO3 (PBE)

Data for a relaxed structure of KNaSnO3.

Cell: 6.5676 6.5676 5.7258 Å, 94.23 94.23 126.32°
Last column: nearest neighbours and their distance in Å.
Positions (direct):
K1 0.2433 0.7567 0.7500  8 O 2.89-3.19
K2 0.7567 0.2433 0.2500  8 O 2.89-3.19
Na1 0.0788 0.9212 0.2500  5 O 2.29-2.40
Na2 0.9212 0.0788 0.7500  5 O 2.29-2.40
Sn1 0.4409 0.5591 0.2500  5 O 1.96-2.14
Sn2 0.5591 0.4409 0.7500  5 O 1.96-2.14
O1 0.2465 0.3115 0.5045  2 Sn 2.06-2.14
O2 0.2739 0.7261 0.2500  1 Sn 1.96
O3 0.3115 0.2465 0.0045  2 Sn 2.06-2.14
O4 0.6885 0.7535 0.9955  2 Sn 2.06-2.14
O5 0.7261 0.2739 0.7500  1 Sn 1.96
O6 0.7535 0.6885 0.4955  2 Sn 2.06-2.14

**Uncorrected energy**: -62.3 eV for the cell shown
**Space-group type**: C2/c, No. 15
**Formation energy without anion corrections**: -1.6440 eV per atom
**Magnetic moment**: 0.097 μB per cell

=====

(19)
## Y2BePbC (PBE)

Data for a relaxed structure of Y2BePbC.

Cell: 5.1861 5.1861 3.6289 Å, 90.00 90.00 90.00°
Last column: nearest neighbours and their distance in Å.
Positions (direct):
Y1 0.0000 0.5000 0.0000  2 C 2.59
Y2 0.5000 0.0000 0.0000  2 C 2.59
Be1 0.0000 0.0000 0.5000  2 C 1.81
Pb1 0.5000 0.5000 0.5000  8 Y 3.16
C1 0.0000 0.0000 0.0000  2 Be 1.81

**Uncorrected energy**: -31.2 eV for the cell shown
**Energy of formation from the pure elements**: -0.332 eV per atom
**Space-group type**: P4/mmm, No. 123
**Magnetic moment**: 0.000 μB per cell

=====

(20)
## MnRu2 (PBE)

Data for a relaxed structure of MnRu2.

Cell: 2.6669 2.6669 6.4179 Å, 90.00 90.00 120.00°
Last column: nearest neighbours and their distance in Å.
Positions (direct):
Mn1 0.0000 0.0000 0.0000  6 Ru 2.58, 6 Mn 2.67
Ru1 0.3333 0.6667 0.3220  3 Mn 2.58, 9 Ru 2.67-2.76
Ru2 0.6667 0.3333 0.6780  3 Mn 2.58, 9 Ru 2.67-2.76

**Uncorrected energy**: -27.3 eV for the cell shown
**Energy of formation from the pure elements**: 0.132 eV per atom
**Space-group type**: P-3m1, No. 164
**Magnetic moment**: 1.068 μB per cell